[1]
# La6HoIn2 (PBE-GGA, optimized geometry)
# - Fermi-level density of states: 20.2 states/eV per cell
# - Energy above the most stable polymorph in this dataset: 0 meV per atom
# - Energy: -0.1696 Ha/atom
# - Calculated formation energy: -185 kJ/mol of formula units
data_La6HoIn2
_space_group_name_H-M_alt 'C 1 2/m 1'
_space_group_IT_number 12
_cell_length_a 15.7880
_cell_length_b 4.7872
_cell_length_c 8.2649
_cell_angle_alpha 90.00
_cell_angle_beta 110.04
_cell_angle_gamma 90.00
loop_
_space_group_symop_operation_xyz
'x,y,z'
'-x,-y,-z'
'-x,y,-z'
'x,-y,z'
'x+1/2,y+1/2,z'
'-x+1/2,-y+1/2,-z'
'-x+1/2,y+1/2,-z'
'x+1/2,-y+1/2,z'
loop_
_atom_site_label
_atom_site_fract_x
_atom_site_fract_y
_atom_site_fract_z
_atom_site_occupancy
La1 0.0973 0.0000 0.1481 1
La2 0.1654 0.5000 0.4901 1
La3 0.2217 0.0000 0.8414 1
Ho1 0.0000 0.0000 0.5000 1
In1 0.0580 0.5000 0.8121 1


[2]
# CdRe3Ge (PBE-GGA, optimized geometry)
# - Fermi-level density of states: 4.4 states/eV per cell
# - Energy above the most stable polymorph in this dataset: 0 meV per atom
# - Energy: -0.2520 Ha/atom
# - Calculated formation energy: 829 kJ/mol of formula units
data_CdRe3Ge
_space_group_name_H-M_alt 'P m -3 m'
_space_group_IT_number 221
_space_group_name_Hall '-P 4 2 3'
_cell_length_a 4.5776
_cell_length_b 4.5776
_cell_length_c 4.5776
_cell_angle_alpha 90.00
_cell_angle_beta 90.00
_cell_angle_gamma 90.00
loop_
_atom_site_label
_atom_site_fract_x
_atom_site_fract_y
_atom_site_fract_z
_atom_site_occupancy
Cd1 0.0000 0.0000 0.0000 1
Re1 0.0000 0.5000 0.5000 1
Ge1 0.5000 0.5000 0.5000 1


[3]
# HPdO (PBE-GGA, optimized geometry)
# - Fermi-level density of states: 7.4 states/eV per cell
# - Energy above the most stable polymorph in this dataset: 0 meV per atom
# - Energy: -0.1729 Ha/atom
data_HPdO
_space_group_name_H-M_alt 'I m m 2'
_space_group_IT_number 44
_cell_length_a 2.5945
_cell_length_b 8.5408
_cell_length_c 5.2643
_cell_angle_alpha 90.00
_cell_angle_beta 90.00
_cell_angle_gamma 90.00
loop_
_space_group_symop_operation_xyz
'x,y,z'
'-x,-y,z'
'-x,y,z'
'x,-y,z'
'x+1/2,y+1/2,z+1/2'
'-x+1/2,-y+1/2,z+1/2'
'-x+1/2,y+1/2,z+1/2'
'x+1/2,-y+1/2,z+1/2'
loop_
_atom_site_label
_atom_site_fract_x
_atom_site_fract_y
_atom_site_fract_z
_atom_site_occupancy
H1 0.0000 0.0000 0.0000 1
H2 0.0000 0.5000 0.2613 1
Pd1 0.0000 0.2275 0.4597 1
O1 0.0000 0.0000 0.5199 1
O2 0.0000 0.5000 0.4569 1